Below is an optimized crystal structure of Tb2Ge3Rh, with properties calculated at the GGA-PBE level.

a = 10.4826 Å, b = 4.3701 Å, c = 6.9645 Å
α = 90.00°, β = 130.65°, γ = 90.00°
Space group Cm (No. 8)
One atom of each set of equivalent atoms:
Tb 0.0000 0.0000 0.0000 x2
Tb 0.1083 0.0000 0.5971 x2
Ge 0.2276 0.5000 0.4047 x2
Ge 0.3735 0.0000 0.1837 x2
Ge 0.4293 0.0000 0.6502 x2
Rh 0.2293 0.5000 0.0373 x2

Computed properties:
Its total energy is -70.25 eV/cell. As for the crystal system: monoclinic. Its energy relative to the elements is -777 meV per atom.